This record from Alexandria via LeMat-Bulk describes a PBEsol-optimized structure of K2ReMoC. The functional is meta-GGA SCAN.

abc: 6.418 6.418 4.529
angles: 90.00 90.00 90.00
Atoms (fractional coordinates):
K 0.000 0.500 0.000
K 0.500 0.000 0.000
Re 0.000 0.000 0.500
Mo 0.000 0.000 0.000
C 0.500 0.500 0.500

SG: No. 123
E_form in kJ per mole of atoms: 246.8
Spin magnetization in μB/atom: 0.6238
Electronic total energy in eV/cell: -119.95